Crystalline SiPPbS2 at its relaxed geometry, computed with PBE.

Properties
Crystal system: tetragonal
DOS at the Fermi energy in states/eV per cell: 2.484

The structure in CIF format:
```
data_SiPPbS2
_chemical_formula_sum 'Si1 P1 Pb1 S2'
_space_group_name_H-M_alt 'P 4/m m m'
_space_group_IT_number 123
_space_group_name_Hall '-P 4 2'
_cell_length_a 4.8591
_cell_length_b 4.8591
_cell_length_c 4.7466
_cell_angle_alpha 90.00
_cell_angle_beta 90.00
_cell_angle_gamma 90.00
loop_
_atom_site_label
_atom_site_type_symbol
_atom_site_fract_x
_atom_site_fract_y
_atom_site_fract_z
Si1 Si 0.0000 0.0000 0.0000
P1 P 0.0000 0.0000 0.5000
Pb1 Pb 0.5000 0.5000 0.5000
S1 S 0.0000 0.5000 0.0000
```



Crystalline SiP2PbS at its relaxed geometry, computed with PBE.

Properties
Crystal system: tetragonal
DOS at the Fermi energy in states/eV per cell: 6.050

The structure in CIF format:
```
data_SiP2PbS
_chemical_formula_sum 'Si1 P2 Pb1 S1'
_space_group_name_H-M_alt 'P 4/m m m'
_space_group_IT_number 123
_space_group_name_Hall '-P 4 2'
_cell_length_a 5.1674
_cell_length_b 5.1674
_cell_length_c 5.1202
_cell_angle_alpha 90.00
_cell_angle_beta 90.00
_cell_angle_gamma 90.00
loop_
_atom_site_label
_atom_site_type_symbol
_atom_site_fract_x
_atom_site_fract_y
_atom_site_fract_z
Si1 Si 0.0000 0.0000 0.0000
P1 P 0.0000 0.5000 0.5000
Pb1 Pb 0.5000 0.5000 0.5000
S1 S 0.5000 0.5000 0.0000
```



Crystalline SiP2PbS at its relaxed geometry, computed with PBE.

Properties
Crystal system: tetragonal
DOS at the Fermi energy in states/eV per cell: 4.590

The structure in CIF format:
```
data_SiP2PbS
_chemical_formula_sum 'Si1 P2 Pb1 S1'
_space_group_name_H-M_alt 'P 4/m m m'
_space_group_IT_number 123
_space_group_name_Hall '-P 4 2'
_cell_length_a 4.7355
_cell_length_b 4.7355
_cell_length_c 4.9987
_cell_angle_alpha 90.00
_cell_angle_beta 90.00
_cell_angle_gamma 90.00
loop_
_atom_site_label
_atom_site_type_symbol
_atom_site_fract_x
_atom_site_fract_y
_atom_site_fract_z
Si1 Si 0.0000 0.0000 0.0000
P1 P 0.0000 0.5000 0.0000
Pb1 Pb 0.5000 0.5000 0.5000
S1 S 0.0000 0.0000 0.5000
```



Crystalline Sm6P3PbS2 at its relaxed geometry, computed with PBE.

Properties
Crystal system: monoclinic
DOS at the Fermi energy in states/eV per cell: 5.826

The structure in CIF format:
```
data_Sm6P3PbS2
_chemical_formula_sum 'Sm12 P6 Pb2 S4'
_space_group_name_H-M_alt 'C 1 2/m 1'
_space_group_IT_number 12
_cell_length_a 18.1254
_cell_length_b 4.1066
_cell_length_c 8.3919
_cell_angle_alpha 90.00
_cell_angle_beta 103.44
_cell_angle_gamma 90.00
loop_
_space_group_symop_operation_xyz
'x,y,z'
'-x,-y,-z'
'-x,y,-z'
'x,-y,z'
'x+1/2,y+1/2,z'
'-x+1/2,-y+1/2,-z'
'-x+1/2,y+1/2,-z'
'x+1/2,-y+1/2,z'
loop_
_atom_site_label
_atom_site_type_symbol
_atom_site_fract_x
_atom_site_fract_y
_atom_site_fract_z
Sm1 Sm 0.0006 0.0000 0.2715
Sm2 Sm 0.1654 0.5000 0.5891
Sm3 Sm 0.1745 0.5000 0.0837
P1 P 0.0000 0.5000 0.5000
P2 P 0.1661 0.0000 0.8313
Pb1 Pb 0.0000 0.5000 0.0000
S1 S 0.1702 0.0000 0.3393
```



Crystalline SnP2PbS8 at its relaxed geometry, computed with PBE.

Properties
Crystal system: trigonal

The structure in CIF format:
```
data_SnP2PbS8
_chemical_formula_sum 'Sn3 P6 Pb3 S24'
_space_group_name_H-M_alt 'R -3'
_space_group_IT_number 148
_space_group_name_Hall '-R 3'
_cell_length_a 5.9344
_cell_length_b 5.9344
_cell_length_c 26.3784
_cell_angle_alpha 90.00
_cell_angle_beta 90.00
_cell_angle_gamma 120.00
loop_
_atom_site_label
_atom_site_type_symbol
_atom_site_fract_x
_atom_site_fract_y
_atom_site_fract_z
Sn1 Sn 0.0000 0.0000 0.0000
P1 P 0.0000 0.0000 0.2503
Pb1 Pb 0.0000 0.0000 0.5000
S1 S 0.0000 0.0000 0.1742
S2 S 0.0145 0.3626 0.0601
```



Crystalline SnPPbS2 at its relaxed geometry, computed with PBE.

Properties
Crystal system: tetragonal
DOS at the Fermi energy in states/eV per cell: 4.808

The structure in CIF format:
```
data_SnPPbS2
_chemical_formula_sum 'Sn1 P1 Pb1 S2'
_space_group_name_H-M_alt 'P 4/m m m'
_space_group_IT_number 123
_space_group_name_Hall '-P 4 2'
_cell_length_a 5.0254
_cell_length_b 5.0254
_cell_length_c 6.3551
_cell_angle_alpha 90.00
_cell_angle_beta 90.00
_cell_angle_gamma 90.00
loop_
_atom_site_label
_atom_site_type_symbol
_atom_site_fract_x
_atom_site_fract_y
_atom_site_fract_z
Sn1 Sn 0.0000 0.0000 0.0000
P1 P 0.5000 0.5000 0.0000
Pb1 Pb 0.0000 0.0000 0.5000
S1 S 0.0000 0.5000 0.5000
```



Crystalline SnPPbS2 at its relaxed geometry, computed with PBE.

Properties
Crystal system: tetragonal
DOS at the Fermi energy in states/eV per cell: 2.418

The structure in CIF format:
```
data_SnPPbS2
_chemical_formula_sum 'Sn1 P1 Pb1 S2'
_space_group_name_H-M_alt 'P 4/m m m'
_space_group_IT_number 123
_space_group_name_Hall '-P 4 2'
_cell_length_a 5.0447
_cell_length_b 5.0447
_cell_length_c 5.0178
_cell_angle_alpha 90.00
_cell_angle_beta 90.00
_cell_angle_gamma 90.00
loop_
_atom_site_label
_atom_site_type_symbol
_atom_site_fract_x
_atom_site_fract_y
_atom_site_fract_z
Sn1 Sn 0.0000 0.0000 0.0000
P1 P 0.0000 0.0000 0.5000
Pb1 Pb 0.5000 0.5000 0.5000
S1 S 0.0000 0.5000 0.0000
```



Crystalline SnP2PbS at its relaxed geometry, computed with PBE.

Properties
Crystal system: tetragonal
DOS at the Fermi energy in states/eV per cell: 4.708

The structure in CIF format:
```
data_SnP2PbS
_chemical_formula_sum 'Sn1 P2 Pb1 S1'
_space_group_name_H-M_alt 'P 4/m m m'
_space_group_IT_number 123
_space_group_name_Hall '-P 4 2'
_cell_length_a 5.0486
_cell_length_b 5.0486
_cell_length_c 5.0575
_cell_angle_alpha 90.00
_cell_angle_beta 90.00
_cell_angle_gamma 90.00
loop_
_atom_site_label
_atom_site_type_symbol
_atom_site_fract_x
_atom_site_fract_y
_atom_site_fract_z
Sn1 Sn 0.0000 0.0000 0.0000
P1 P 0.0000 0.5000 0.0000
Pb1 Pb 0.5000 0.5000 0.5000
S1 S 0.0000 0.0000 0.5000
```



Crystalline SrP2PbS at its relaxed geometry, computed with PBE.

Properties
Crystal system: tetragonal
DOS at the Fermi energy in states/eV per cell: 6.339

The structure in CIF format:
```
data_SrP2PbS
_chemical_formula_sum 'Sr1 P2 Pb1 S1'
_space_group_name_H-M_alt 'P 4/m m m'
_space_group_IT_number 123
_space_group_name_Hall '-P 4 2'
_cell_length_a 5.1891
_cell_length_b 5.1891
_cell_length_c 5.3533
_cell_angle_alpha 90.00
_cell_angle_beta 90.00
_cell_angle_gamma 90.00
loop_
_atom_site_label
_atom_site_type_symbol
_atom_site_fract_x
_atom_site_fract_y
_atom_site_fract_z
Sr1 Sr 0.0000 0.0000 0.0000
P1 P 0.0000 0.5000 0.5000
Pb1 Pb 0.5000 0.5000 0.5000
S1 S 0.5000 0.5000 0.0000
```



Crystalline SrP2PbS8 at its relaxed geometry, computed with PBE.

Properties
Crystal system: trigonal
DOS at the Fermi energy in states/eV per cell: 5.039

The structure in CIF format:
```
data_SrP2PbS8
_chemical_formula_sum 'Sr1 P2 Pb1 S8'
_space_group_name_H-M_alt 'P -3'
_space_group_IT_number 147
_cell_length_a 6.0853
_cell_length_b 6.0853
_cell_length_c 9.1604
_cell_angle_alpha 90.00
_cell_angle_beta 90.00
_cell_angle_gamma 120.00
loop_
_space_group_symop_operation_xyz
'x,y,z'
'-x,-y,-z'
'-y,x-y,z'
'y,-x+y,-z'
'-x+y,-x,z'
'x-y,x,-z'
loop_
_atom_site_label
_atom_site_type_symbol
_atom_site_fract_x
_atom_site_fract_y
_atom_site_fract_z
Sr1 Sr 0.0000 0.0000 0.0000
P1 P 0.3333 0.6667 0.7626
Pb1 Pb 0.0000 0.0000 0.5000
S1 S 0.0060 0.3402 0.7038
S2 S 0.3333 0.6667 0.9827
```



Crystalline SrP2PbS at its relaxed geometry, computed with PBE.

Properties
Crystal system: tetragonal
DOS at the Fermi energy in states/eV per cell: 5.933

The structure in CIF format:
```
data_SrP2PbS
_chemical_formula_sum 'Sr1 P2 Pb1 S1'
_space_group_name_H-M_alt 'P 4/m m m'
_space_group_IT_number 123
_space_group_name_Hall '-P 4 2'
_cell_length_a 5.5424
_cell_length_b 5.5424
_cell_length_c 5.5634
_cell_angle_alpha 90.00
_cell_angle_beta 90.00
_cell_angle_gamma 90.00
loop_
_atom_site_label
_atom_site_type_symbol
_atom_site_fract_x
_atom_site_fract_y
_atom_site_fract_z
Sr1 Sr 0.0000 0.0000 0.0000
P1 P 0.0000 0.5000 0.0000
Pb1 Pb 0.5000 0.5000 0.5000
S1 S 0.0000 0.0000 0.5000
```



Crystalline TaPPbS2 at its relaxed geometry, computed with PBE.

Properties
Crystal system: tetragonal
DOS at the Fermi energy in states/eV per cell: 1.598

The structure in CIF format:
```
data_TaPPbS2
_chemical_formula_sum 'Ta1 P1 Pb1 S2'
_space_group_name_H-M_alt 'P 4/m m m'
_space_group_IT_number 123
_space_group_name_Hall '-P 4 2'
_cell_length_a 4.7769
_cell_length_b 4.7769
_cell_length_c 5.0231
_cell_angle_alpha 90.00
_cell_angle_beta 90.00
_cell_angle_gamma 90.00
loop_
_atom_site_label
_atom_site_type_symbol
_atom_site_fract_x
_atom_site_fract_y
_atom_site_fract_z
Ta1 Ta 0.0000 0.0000 0.0000
P1 P 0.0000 0.0000 0.5000
Pb1 Pb 0.5000 0.5000 0.5000
S1 S 0.0000 0.5000 0.0000
```



Number 1: uncorrected formation energy 0.145 eV per atom. Number 2: uncorrected formation energy 1.451 eV per atom. Number 3: uncorrected formation energy 0.388 eV per atom. Number 4: uncorrected formation energy -1.549 eV per atom. Number 5: uncorrected formation energy -0.198 eV per atom. Number 6: uncorrected formation energy 1.047 eV per atom. Number 7: uncorrected formation energy 0.271 eV per atom. Number 8: uncorrected formation energy 0.581 eV per atom. Number 9: uncorrected formation energy 0.194 eV per atom. Number 10: uncorrected formation energy -0.457 eV per atom. Number 11: uncorrected formation energy 0.696 eV per atom. Number 12: uncorrected formation energy -0.298 eV per atom.